Entry 1:
A plane-wave DFT calculation with PBEsol was carried out for a relaxed Se5Br4 crystal.

The structure in POSCAR format:
```
Se5Br4
1.0
-6.7187 6.7187 1.7779
6.7187 -6.7187 1.7779
6.7187 6.7187 -1.7779
Se Br
5 4
Direct
0.0000 0.0000 0.0000
0.2921 0.2921 0.5842
0.2921 0.7079 0.0000
0.7079 0.2921 0.0000
0.7079 0.7079 0.4158
0.0000 0.1898 0.1898
0.0000 0.8102 0.8102
0.1898 0.0000 0.1898
0.8102 0.0000 0.8102
```

The symmetry is I4/mmm. For the formation energy (no corrections), the calculation gives 0.02 eV/atom. The density of states at the Fermi level comes out at 0.43 states/eV/atom. As for the uncorrected energy: -26.5 eV for the cell shown.

=====

Entry 2:
A plane-wave DFT calculation with PBEsol was carried out for a relaxed SiSb3Pd crystal.

The structure in POSCAR format:
```
SiSb3Pd
1.0
5.1280 0.0000 0.0000
0.0000 5.1280 0.0000
0.0000 0.0000 5.1280
Si Sb Pd
1 3 1
Direct
0.0000 0.0000 0.0000
0.0000 0.5000 0.5000
0.5000 0.0000 0.5000
0.5000 0.5000 0.0000
0.5000 0.5000 0.5000
```

The symmetry is Pm-3m. For the formation energy (no corrections), the calculation gives 0.66 eV/atom. The density of states at the Fermi level comes out at 0.92 states/eV/atom. As for the uncorrected energy: -22.1 eV for the cell shown.